(1)
Below is a relaxed structure of Ta2CdPtCl, with properties calculated at the GGA-PBE level.

Unit cell a=4.978 b=4.978 c=5.260 alpha=90.00 beta=90.00 gamma=90.00
Fractional positions:
Ta (0.000, 0.500, 0.000)
Ta (0.500, 0.000, 0.000)
Cd (0.000, 0.000, 0.500)
Pt (0.000, 0.000, 0.000)
Cl (0.500, 0.500, 0.500)

- calculated volume (Å³/f.u.) = 130.4
- SG = No. 123
- ΔE_f (raw) (eV per atom) = 0.94
- uncorrected energy (eV/atom) = -5.562

***

(2)
Below is a relaxed structure of TiCdPtCl2, with properties calculated at the GGA-PBE level.

Unit cell a=4.677 b=4.677 c=8.256 alpha=90.00 beta=90.00 gamma=90.00
Fractional positions:
Ti (0.000, 0.000, 0.000)
Cd (0.000, 0.000, 0.500)
Pt (0.500, 0.500, 0.000)
Cl (0.000, 0.500, 0.500)
Cl (0.500, 0.000, 0.500)

- calculated volume (Å³/f.u.) = 180.6
- SG = No. 123
- ΔE_f (raw) (eV per atom) = 0.66
- uncorrected energy (eV/atom) = -3.045

***

(3)
Below is a relaxed structure of Tl2CdPtCl6, with properties calculated at the GGA-PBE level.

Unit cell a=13.239 b=13.239 c=13.239 alpha=31.46 beta=31.46 gamma=31.46
Fractional positions:
Tl (0.137, 0.137, 0.137)
Tl (0.303, 0.303, 0.303)
Tl (0.697, 0.697, 0.697)
Tl (0.863, 0.863, 0.863)
Cd (0.414, 0.414, 0.414)
Cd (0.586, 0.586, 0.586)
Pt (0.000, 0.000, 0.000)
Pt (0.500, 0.500, 0.500)
Cl (0.130, 0.624, 0.624)
Cl (0.202, 0.202, 0.708)
Cl (0.202, 0.708, 0.202)
Cl (0.292, 0.798, 0.798)
Cl (0.376, 0.376, 0.870)
Cl (0.376, 0.870, 0.376)
Cl (0.624, 0.130, 0.624)
Cl (0.624, 0.624, 0.130)
Cl (0.708, 0.202, 0.202)
Cl (0.798, 0.292, 0.798)
Cl (0.798, 0.798, 0.292)
Cl (0.870, 0.376, 0.376)

- calculated volume (Å³/f.u.) = 280.5
- SG = No. 166
- ΔE_f (raw) (eV per atom) = -0.72
- uncorrected energy (eV/atom) = -2.997

***

(4)
Below is a relaxed structure of Tl2CdPtCl, with properties calculated at the GGA-PBE level.

Unit cell a=5.337 b=5.337 c=5.294 alpha=90.00 beta=90.00 gamma=90.00
Fractional positions:
Tl (0.000, 0.500, 0.000)
Tl (0.500, 0.000, 0.000)
Cd (0.000, 0.000, 0.500)
Pt (0.000, 0.000, 0.000)
Cl (0.500, 0.500, 0.500)

- calculated volume (Å³/f.u.) = 150.8
- SG = No. 123
- ΔE_f (raw) (eV per atom) = -0.40
- uncorrected energy (eV/atom) = -3.109

***

(5)
Below is a relaxed structure of CdPt2WCl, with properties calculated at the GGA-PBE level.

Unit cell a=4.798 b=4.798 c=5.663 alpha=90.00 beta=90.00 gamma=90.00
Fractional positions:
Cd (0.000, 0.000, 0.000)
Pt (0.000, 0.500, 0.500)
Pt (0.500, 0.000, 0.500)
W (0.000, 0.000, 0.500)
Cl (0.500, 0.500, 0.000)

- calculated volume (Å³/f.u.) = 130.4
- SG = No. 123
- ΔE_f (raw) (eV per atom) = 1.07
- uncorrected energy (eV/atom) = -4.488

***

(6)
Below is a relaxed structure of Zn2CdPtCl, with properties calculated at the GGA-PBE level.

Unit cell a=4.952 b=4.952 c=4.989 alpha=90.00 beta=90.00 gamma=90.00
Fractional positions:
Zn (0.000, 0.500, 0.000)
Zn (0.500, 0.000, 0.000)
Cd (0.000, 0.000, 0.500)
Pt (0.500, 0.500, 0.000)
Cl (0.500, 0.500, 0.500)

- calculated volume (Å³/f.u.) = 122.3
- SG = No. 123
- ΔE_f (raw) (eV per atom) = 0.02
- uncorrected energy (eV/atom) = -2.252